NaNiO2 after structural relaxation, computed with GGA+U.

The structure in CIF format:
```
data_NaNiO2
_chemical_formula_sum 'Na4 Ni4 O8'
_symmetry_space_group_name_H-M 'C 1 2/c 1'
_symmetry_Int_Tables_number 15
_symmetry_space_group_name_Hall '-C 2yc'
_cell_length_a 3.038
_cell_length_b 5.054
_cell_length_c 10.670
_cell_angle_alpha 90.00
_cell_angle_beta 92.24
_cell_angle_gamma 90.00
loop_
_atom_site_label
_atom_site_type_symbol
_atom_site_fract_x
_atom_site_fract_y
_atom_site_fract_z
_atom_site_occupancy
Na1 Na 0.000 0.158 0.250 1
Ni1 Ni 0.000 0.500 0.000 1
O1 O 0.023 0.180 0.902 1
```

## Properties
Its total energy is -0.167 hartree per atom. For the density of states at the Fermi level, the calculation gives 0.04 states/eV per atom.